Entry 1:
VASP calculation (PBE) on crystalline PaBeV2 at its relaxed geometry.

Properties
Its size of the total moment is 0.00 μB per formula unit. As for the total energy: -30.67 eV per formula unit. As for the space group: P4/mmm. For the volume, the calculation gives 60 Å³ per cell. For the energy above the most stable polymorph in this dataset, the calculation gives 3.18 kJ/mol of atoms. The formation energy comes out at 0.1975 eV/atom.

a b c (Å): 3.386 4.206 4.206
angles (deg): 90.00 90.00 90.00
Fractional positions:
Be 0.500 0.000 0.000
Pa 0.500 0.500 0.500
V 0.000 0.000 0.500
V 0.000 0.500 0.000

---

Entry 2:
VASP calculation (PBE) on crystalline PaBeV at its relaxed geometry.

Properties
Its size of the total moment is 0.00 μB per formula unit. As for the total energy: -21.27 eV per formula unit. As for the space group: P-6m2. For the volume, the calculation gives 50 Å³ per cell. For the energy above the most stable polymorph in this dataset, the calculation gives 9.18 kJ/mol of atoms. The formation energy comes out at 0.3553 eV/atom.

a b c (Å): 3.008 4.384 4.384
angles (deg): 120.00 90.00 90.00
Fractional positions:
Be 0.167 0.000 0.000
Pa 0.667 0.333 0.667
V 0.166 0.667 0.333

---

Entry 3:
VASP calculation (PBE) on crystalline PaBeV at its relaxed geometry.

Properties
Its size of the total moment is 0.00 μB per formula unit. As for the total energy: -20.18 eV per formula unit. As for the space group: Cmmm. For the volume, the calculation gives 109 Å³ per cell. For the energy above the most stable polymorph in this dataset, the calculation gives 44.25 kJ/mol of atoms. The formation energy comes out at 0.7188 eV/atom.

a b c (Å): 4.112 5.216 5.216
angles (deg): 76.79 90.00 90.00
Fractional positions:
V 0.000 0.000 0.000
V 0.500 0.500 0.500
Pa 0.000 0.704 0.704
Pa 0.000 0.296 0.296
Be 0.500 0.159 0.841
Be 0.500 0.841 0.159

---

Entry 4:
VASP calculation (PBE) on crystalline PaBe9V2 at its relaxed geometry.

Properties
Its size of the total moment is 0.00 μB per formula unit. As for the total energy: -62.56 eV per formula unit. As for the space group: P4/mbm. For the volume, the calculation gives 253 Å³ per cell. The formation energy comes out at -0.1075 eV/atom.

a b c (Å): 4.521 7.485 7.485
angles (deg): 90.00 90.00 90.00
Fractional positions:
Pa 0.000 0.500 0.500
Pa 0.000 0.000 0.000
Be 0.500 0.500 0.000
Be 0.500 0.000 0.500
Be 0.500 0.721 0.569
Be 0.500 0.279 0.431
Be 0.500 0.221 0.931
Be 0.500 0.779 0.069
Be 0.500 0.431 0.721
Be 0.500 0.569 0.279
Be 0.500 0.069 0.221
Be 0.500 0.931 0.779
Be 0.758 0.824 0.324
Be 0.758 0.176 0.676
Be 0.758 0.324 0.176
Be 0.758 0.676 0.824
Be 0.242 0.176 0.676
Be 0.242 0.824 0.324
Be 0.242 0.676 0.824
Be 0.242 0.324 0.176
V 0.000 0.617 0.117
V 0.000 0.383 0.883
V 0.000 0.117 0.383
V 0.000 0.883 0.617

---

Entry 5:
VASP calculation (PBE) on crystalline PaBe2V at its relaxed geometry.

Properties
Its size of the total moment is 2.28 μB per formula unit. As for the total energy: -24.92 eV per formula unit. As for the space group: Fm-3m. For the volume, the calculation gives 61 Å³ per cell. For the energy above the most stable polymorph in this dataset, the calculation gives 14.98 kJ/mol of atoms. The formation energy comes out at 0.2869 eV/atom.

a b c (Å): 4.415 4.415 4.416
angles (deg): 60.01 60.01 60.00
Fractional positions:
Be 0.750 0.750 0.750
Be 0.250 0.250 0.250
Pa 0.000 0.000 0.000
V 0.500 0.500 0.500

---

Entry 6:
VASP calculation (PBE) on crystalline PaBe2V at its relaxed geometry.

Properties
Its size of the total moment is 0.00 μB per formula unit. As for the total energy: -25.54 eV per formula unit. As for the space group: P4/mmm. For the volume, the calculation gives 56 Å³ per cell. For the energy above the most stable polymorph in this dataset, the calculation gives 0.00 kJ/mol of atoms. The formation energy comes out at 0.1317 eV/atom.

a b c (Å): 2.820 2.820 7.021
angles (deg): 90.00 90.00 90.00
Fractional positions:
Be 0.000 0.000 0.795
Be 0.000 0.000 0.205
Pa 0.500 0.500 0.500
V 0.500 0.500 0.000

---

Entry 7:
VASP calculation (PBE) on crystalline PaBeV at its relaxed geometry.

Properties
Its size of the total moment is 0.00 μB per formula unit. As for the total energy: -21.56 eV per formula unit. As for the space group: I4mm. For the volume, the calculation gives 48 Å³ per cell. For the energy above the most stable polymorph in this dataset, the calculation gives 0.00 kJ/mol of atoms. The formation energy comes out at 0.2602 eV/atom.

a b c (Å): 3.236 3.236 5.144
angles (deg): 108.33 108.33 90.00
Fractional positions:
Be 0.041 0.041 0.081
Pa 0.344 0.344 0.689
V 0.615 0.615 0.230

---

Entry 8:
VASP calculation (PBE) on crystalline Pa2Be16V at its relaxed geometry.

Properties
Its size of the total moment is 0.00 μB per formula unit. As for the total energy: -88.41 eV per formula unit. As for the space group: R3m. For the volume, the calculation gives 203 Å³ per cell. The formation energy comes out at -0.0359 eV/atom.

a b c (Å): 5.904 5.904 5.904
angles (deg): 84.31 84.31 84.31
Fractional positions:
Pa 0.675 0.675 0.675
Pa 0.346 0.346 0.346
Be 0.724 0.999 0.270
Be 0.999 0.270 0.724
Be 0.270 0.724 0.999
Be 0.999 0.724 0.270
Be 0.724 0.270 0.999
Be 0.270 0.999 0.724
Be 0.342 0.845 0.342
Be 0.845 0.342 0.342
Be 0.342 0.342 0.845
Be 0.657 0.165 0.657
Be 0.165 0.657 0.657
Be 0.657 0.657 0.165
Be 0.006 0.491 0.006
Be 0.491 0.006 0.006
Be 0.006 0.006 0.491
Be 0.097 0.097 0.097
V 0.884 0.884 0.884

---

Entry 9:
VASP calculation (PBE) on crystalline PaBeV2 at its relaxed geometry.

Properties
Its size of the total moment is 0.00 μB per formula unit. As for the total energy: -30.80 eV per formula unit. As for the space group: Fm-3m. For the volume, the calculation gives 58 Å³ per cell. For the energy above the most stable polymorph in this dataset, the calculation gives 0.00 kJ/mol of atoms. The formation energy comes out at 0.1645 eV/atom.

a b c (Å): 4.355 4.355 4.355
angles (deg): 60.00 60.00 60.00
Fractional positions:
Be 0.500 0.500 0.500
Pa 0.000 0.000 0.000
V 0.750 0.750 0.750
V 0.250 0.250 0.250

---

Entry 10:
VASP calculation (PBE) on crystalline PaBe17V at its relaxed geometry.

Properties
Its size of the total moment is 0.00 μB per formula unit. As for the total energy: -82.91 eV per formula unit. As for the space group: R3m. For the volume, the calculation gives 180 Å³ per cell. The formation energy comes out at -0.0501 eV/atom.

a b c (Å): 5.683 5.683 5.683
angles (deg): 82.94 82.94 82.94
Fractional positions:
Pa 0.659 0.659 0.659
Be 0.285 0.006 0.710
Be 0.710 0.285 0.006
Be 0.006 0.710 0.285
Be 0.285 0.710 0.006
Be 0.006 0.285 0.710
Be 0.710 0.006 0.285
Be 0.339 0.848 0.339
Be 0.339 0.339 0.848
Be 0.848 0.339 0.339
Be 0.653 0.161 0.653
Be 0.653 0.653 0.161
Be 0.161 0.653 0.653
Be 0.000 0.500 0.000
Be 0.000 0.000 0.500
Be 0.500 0.000 0.000
Be 0.908 0.908 0.908
Be 0.102 0.102 0.102
V 0.336 0.336 0.336

---

Entry 11:
VASP calculation (PBE) on crystalline PaBeW at its relaxed geometry.

Properties
Its size of the total moment is 0.00 μB per formula unit. As for the total energy: -25.75 eV per formula unit. As for the space group: Fddd. For the volume, the calculation gives 196 Å³ per cell. The formation energy comes out at 0.1433 eV/atom.

a b c (Å): 5.316 5.124 8.825
angles (deg): 81.01 72.47 58.75
Fractional positions:
Pa 0.166 0.500 0.669
Pa 0.334 0.500 0.331
Pa 0.584 0.000 0.831
Pa 0.416 0.000 0.169
Be 0.628 0.500 0.745
Be 0.872 0.500 0.255
Be 0.122 0.000 0.755
Be 0.878 0.000 0.245
W 0.919 0.161 0.500
W 0.581 0.839 0.500
W 0.831 0.339 0.000
W 0.169 0.661 0.000

---

Entry 12:
VASP calculation (PBE) on crystalline PaBe4W at its relaxed geometry.

Properties
Its size of the total moment is 0.00 μB per formula unit. As for the total energy: -36.47 eV per formula unit. As for the space group: F-43m. For the volume, the calculation gives 78 Å³ per cell. The formation energy comes out at 0.1467 eV/atom.

a b c (Å): 4.790 4.790 4.790
angles (deg): 60.00 60.00 60.00
Fractional positions:
Be 0.624 0.624 0.129
Be 0.624 0.129 0.624
Be 0.624 0.624 0.624
Be 0.129 0.624 0.624
Pa 0.000 0.000 0.000
W 0.250 0.250 0.250

---

Repeat the ninth record exactly.
VASP calculation (PBE) on crystalline PaBeV2 at its relaxed geometry.

Properties
Its size of the total moment is 0.00 μB per formula unit. As for the total energy: -30.80 eV per formula unit. As for the space group: Fm-3m. For the volume, the calculation gives 58 Å³ per cell. For the energy above the most stable polymorph in this dataset, the calculation gives 0.00 kJ/mol of atoms. The formation energy comes out at 0.1645 eV/atom.

a b c (Å): 4.355 4.355 4.355
angles (deg): 60.00 60.00 60.00
Fractional positions:
Be 0.500 0.500 0.500
Pa 0.000 0.000 0.000
V 0.750 0.750 0.750
V 0.250 0.250 0.250